A relaxed structure of PaBeFeO6. Source: the Alexandria database, functional PBE with a Hubbard U.

It has space group P312 (No. 149), with a = 4.8230 Å, b = 4.8230 Å, c = 4.7772 Å, α = 90.00°, β = 90.00° and γ = 120.00°. The distinct sites, in fractional coordinates, are Pa at (0.0000, 0.0000, 0.0000), Be at (0.6667, 0.3333, 0.5000), Fe at (0.3333, 0.6667, 0.5000) and O at (0.3649, 0.0072, 0.7193).

Its energy is -7.519 eV/atom. For the magnetic moment, the calculation gives 0.334 μB/atom.